# PBE Na3Pu3ZrSe8, optimized geometry
# * ΔE_f (raw): -1393 meV/atom
# * N(E_F): 2.06 states/eV per atom
# * theoretical density: 6097 kg/m³
# * symmetry: R-3m, No. 166
# * VASP energy: -6.951 eV per atom
# * total magnetic moment: 15.00 μB/f.u.
data_Na3Pu3ZrSe8
_space_group_name_H-M_alt 'P 1'
_space_group_IT_number 1
_cell_length_a 8.484
_cell_length_b 8.484
_cell_length_c 8.484
_cell_angle_alpha 58.30
_cell_angle_beta 58.30
_cell_angle_gamma 58.30
loop_
_space_group_symop_operation_xyz
'x,y,z'
loop_
_atom_site_label
_atom_site_type_symbol
_atom_site_fract_x
_atom_site_fract_y
_atom_site_fract_z
_atom_site_occupancy
Na1 Na 0.000 0.500 0.500 1
Na2 Na 0.500 0.000 0.500 1
Na3 Na 0.500 0.500 0.000 1
Pu1 Pu 0.000 0.000 0.500 1
Pu2 Pu 0.000 0.500 0.000 1
Pu3 Pu 0.500 0.000 0.000 1
Zr1 Zr 0.500 0.500 0.500 1
Se1 Se 0.244 0.244 0.244 1
Se2 Se 0.257 0.732 0.732 1
Se3 Se 0.268 0.268 0.743 1
Se4 Se 0.268 0.743 0.268 1
Se5 Se 0.732 0.257 0.732 1
Se6 Se 0.732 0.732 0.257 1
Se7 Se 0.743 0.268 0.268 1
Se8 Se 0.756 0.756 0.756 1